1.
CoOs | PBEsol | relaxed

The structure in CIF format:
```
data_CoOs
_symmetry_space_group_name_H-M 'P 1'
_symmetry_Int_Tables_number 1
_symmetry_space_group_name_Hall 'P 1'
_cell_length_a 2.5815
_cell_length_b 3.9313
_cell_length_c 4.8735
_cell_angle_alpha 90.00
_cell_angle_beta 105.36
_cell_angle_gamma 90.00
loop_
_atom_site_label
_atom_site_type_symbol
_atom_site_fract_x
_atom_site_fract_y
_atom_site_fract_z
_atom_site_occupancy
Co1 Co 0.5653 0.7500 0.1306 1
Co2 Co 0.4347 0.2500 0.8694 1
Os1 Os 0.1703 0.2500 0.3407 1
Os2 Os 0.8297 0.7500 0.6593 1
```

Output
**Space group**: No. 63
**Energy of formation**: 0.1017 eV/atom
**Density of states at the Fermi level**: 4.0 states/eV/cell

---

2.
Y2Ti2S2O5 | PBEsol | relaxed

The structure in CIF format:
```
data_Y2Ti2S2O5
_symmetry_space_group_name_H-M 'P 1'
_symmetry_Int_Tables_number 1
_symmetry_space_group_name_Hall 'P 1'
_cell_length_a 3.7575
_cell_length_b 3.7575
_cell_length_c 11.6564
_cell_angle_alpha 99.28
_cell_angle_beta 99.28
_cell_angle_gamma 90.00
loop_
_atom_site_label
_atom_site_type_symbol
_atom_site_fract_x
_atom_site_fract_y
_atom_site_fract_z
_atom_site_occupancy
Y1 Y 0.3329 0.3329 0.6659 1
Y2 Y 0.6671 0.6671 0.3341 1
Ti1 Ti 0.0794 0.0794 0.1588 1
Ti2 Ti 0.9206 0.9206 0.8412 1
S1 S 0.2058 0.2058 0.4116 1
S2 S 0.7942 0.7942 0.5884 1
O1 O 0.0000 0.0000 0.0000 1
O2 O 0.1004 0.6004 0.2007 1
O3 O 0.3996 0.8996 0.7993 1
O4 O 0.6004 0.1004 0.2007 1
O5 O 0.8996 0.3996 0.7993 1
```

Output
**Space group**: No. 139
**Formation energy (no corrections)**: -32.52 eV/f.u.

---

3.
Y2ZrIr | PBEsol | relaxed

The structure in CIF format:
```
data_Y2ZrIr
_symmetry_space_group_name_H-M 'P 1'
_symmetry_Int_Tables_number 1
_symmetry_space_group_name_Hall 'P 1'
_cell_length_a 3.4876
_cell_length_b 5.0723
_cell_length_c 6.0608
_cell_angle_alpha 114.74
_cell_angle_beta 106.72
_cell_angle_gamma 90.00
loop_
_atom_site_label
_atom_site_type_symbol
_atom_site_fract_x
_atom_site_fract_y
_atom_site_fract_z
_atom_site_occupancy
Ir1 Ir 0.2393 0.2393 0.4786 1
Y1 Y 0.9590 0.4590 0.9181 1
Y2 Y 0.7519 0.7519 0.5038 1
Zr1 Zr 0.5498 0.0498 0.0995 1
```

Output
**Space group**: No. 44
**Energy of formation**: -0.4310 eV/atom
**Density of states at the Fermi level**: 3.3 states/eV/cell

---

4.
KNiSb2 | PBEsol | relaxed

The structure in CIF format:
```
data_KNiSb2
_symmetry_space_group_name_H-M 'P 1'
_symmetry_Int_Tables_number 1
_symmetry_space_group_name_Hall 'P 1'
_cell_length_a 3.5730
_cell_length_b 3.5730
_cell_length_c 7.9765
_cell_angle_alpha 90.00
_cell_angle_beta 90.00
_cell_angle_gamma 90.00
loop_
_atom_site_label
_atom_site_type_symbol
_atom_site_fract_x
_atom_site_fract_y
_atom_site_fract_z
_atom_site_occupancy
K1 K 0.0000 0.0000 0.5055 1
Ni1 Ni 0.5000 0.5000 0.8763 1
Sb1 Sb 0.0000 0.0000 0.9243 1
Sb2 Sb 0.5000 0.5000 0.1939 1
```

Output
**Offset from the most stable computed form**: 0.306 eV per atom
**Space group**: No. 99
**Formation energy (no corrections)**: 0.01 eV/f.u.
**Density of states at the Fermi level**: 2.2 states/eV/cell

---

5.
ScCrOs | PBEsol | relaxed

The structure in CIF format:
```
data_ScCrOs
_symmetry_space_group_name_H-M 'P 1'
_symmetry_Int_Tables_number 1
_symmetry_space_group_name_Hall 'P 1'
_cell_length_a 4.2671
_cell_length_b 4.2671
_cell_length_c 4.2671
_cell_angle_alpha 60.00
_cell_angle_beta 60.00
_cell_angle_gamma 60.00
loop_
_atom_site_label
_atom_site_type_symbol
_atom_site_fract_x
_atom_site_fract_y
_atom_site_fract_z
_atom_site_occupancy
Cr1 Cr 0.0000 0.0000 0.0000 1
Os1 Os 0.5000 0.5000 0.5000 1
Sc1 Sc 0.7500 0.7500 0.7500 1
```

Output
**Offset from the most stable computed form**: 1.429 eV per atom
**Space group**: No. 216
**Energy of formation**: 1.1702 eV/atom
**Density of states at the Fermi level**: 3.3 states/eV/cell

---

6.
AlTl2PdPt | PBEsol | relaxed

The structure in CIF format:
```
data_AlTl2PdPt
_symmetry_space_group_name_H-M 'P 1'
_symmetry_Int_Tables_number 1
_symmetry_space_group_name_Hall 'P 1'
_cell_length_a 4.4844
_cell_length_b 5.0834
_cell_length_c 5.0834
_cell_angle_alpha 90.00
_cell_angle_beta 90.00
_cell_angle_gamma 90.00
loop_
_atom_site_label
_atom_site_type_symbol
_atom_site_fract_x
_atom_site_fract_y
_atom_site_fract_z
_atom_site_occupancy
Tl1 Tl 0.0000 0.0000 0.5000 1
Tl2 Tl 0.0000 0.5000 0.0000 1
Pd1 Pd 0.5000 0.0000 0.0000 1
Pt1 Pt 0.5000 0.5000 0.5000 1
Al1 Al 0.0000 0.0000 0.0000 1
```

Output
**Space group**: No. 123
**Energy of formation**: 0.7549 eV/atom
**Density of states at the Fermi level**: 2.3 states/eV/cell

---

Calculated volume per entry: 47.7 160.2 92.4 101.8 54.9 115.9 Å³/cell